1.
## Na2Si2Pb (PBEsol)

Data for a relaxed Na2Si2Pb crystal.

Calculated values
- SG: No. 139
- Formation energy without anion corrections: 0.180 eV per atom

Cell and atoms, written as POSCAR:
```
Na2Si2Pb
1.0
-1.1146 3.9141 1.7284
-0.8799 -1.9576 3.8656
6.8863 -0.0914 -1.0076
Na Si Pb
2 2 1
Direct
0.2500 0.7500 0.5000
0.7500 0.2500 0.5000
0.5882 0.5882 0.1764
0.4118 0.4118 0.8236
0.0000 0.0000 0.0000
```

=====

2.
## CuAgRh2 (PBEsol)

Data for a relaxed CuAgRh2 crystal.

Calculated values
- SG: No. 44
- ΔE to the lowest computed polymorph: 0.110 eV per atom

Cell and atoms, written as POSCAR:
```
CuAgRh2
1.0
-0.8447 1.1099 2.4193
-4.2398 -1.2276 -0.9171
3.2271 -3.8115 1.2636
Cu Ag Rh
1 1 2
Direct
0.2550 0.7550 0.5099
0.5085 0.5085 0.0169
0.7402 0.2402 0.4804
0.9964 0.9964 0.9927
```

=====

3.
## LiTlW2 (PBEsol)

Data for a relaxed LiTlW2 crystal.

Calculated values
- SG: No. 65
- ΔE to the lowest computed polymorph: 0.329 eV per atom

Cell and atoms, written as POSCAR:
```
LiTlW2
1.0
-2.5797 -0.7468 0.6951
0.3774 0.0739 -2.7473
2.7320 -9.3205 0.1247
W Tl Li
2 1 1
Direct
0.0000 0.0000 0.7454
0.0000 0.0000 0.2546
0.5000 0.5000 0.0000
0.5000 0.5000 0.5000
```

=====

Total magnetic moment values (in μB per cell) by entry order: 0.0, 0.0, 0.0.